## w
A relaxed structure of Mg2TlBi. Source: Alexandria, functional GGA-PBE.

```
data_Mg2TlBi
_chemical_formula_sum 'Mg2 Tl1 Bi1'
_cell_length_a 3.8428
_cell_length_b 3.8428
_cell_length_c 7.0634
_cell_angle_alpha 90.00
_cell_angle_beta 90.00
_cell_angle_gamma 90.00
_space_group_name_H-M_alt 'P 4/m m m'
_space_group_IT_number 123
_space_group_name_Hall '-P 4 2'
loop_
_atom_site_label
_atom_site_fract_x
_atom_site_fract_y
_atom_site_fract_z
Mg1 0.0000 0.0000 0.2458
Tl1 0.5000 0.5000 0.0000
Bi1 0.5000 0.5000 0.5000
```

Properties
- crystal system = tetragonal

## x
A relaxed structure of Mg2TlBi. Source: Alexandria, functional GGA-PBE.

```
data_Mg2TlBi
_chemical_formula_sum 'Mg8 Tl4 Bi4'
_cell_length_a 7.5138
_cell_length_b 7.5138
_cell_length_c 7.5138
_cell_angle_alpha 90.00
_cell_angle_beta 90.00
_cell_angle_gamma 90.00
_space_group_name_H-M_alt 'F m -3 m'
_space_group_IT_number 225
_space_group_name_Hall '-F 4 2 3'
loop_
_atom_site_label
_atom_site_fract_x
_atom_site_fract_y
_atom_site_fract_z
Mg1 0.2500 0.2500 0.2500
Tl1 0.0000 0.0000 0.0000
Bi1 0.0000 0.0000 0.5000
```

Properties
- crystal system = cubic

The most stable of them is x.

## w
A relaxed structure of TaBe2Re. Source: Alexandria, functional GGA-PBE.

```
data_TaBe2Re
_chemical_formula_sum 'Ta1 Be2 Re1'
_cell_length_a 3.0437
_cell_length_b 3.0437
_cell_length_c 5.3727
_cell_angle_alpha 90.00
_cell_angle_beta 90.00
_cell_angle_gamma 90.00
_space_group_name_H-M_alt 'P 4/m m m'
_space_group_IT_number 123
_space_group_name_Hall '-P 4 2'
loop_
_atom_site_label
_atom_site_fract_x
_atom_site_fract_y
_atom_site_fract_z
Ta1 0.0000 0.0000 0.0000
Be1 0.5000 0.5000 0.2924
Re1 0.0000 0.0000 0.5000
```

Properties
- crystal system = tetragonal

## x
A relaxed structure of TaBe2Re. Source: Alexandria, functional GGA-PBE.

```
data_TaBe2Re
_chemical_formula_sum 'Ta1 Be2 Re1'
_cell_length_a 2.6566
_cell_length_b 2.7665
_cell_length_c 6.7969
_cell_angle_alpha 90.00
_cell_angle_beta 90.00
_cell_angle_gamma 90.00
_space_group_name_H-M_alt 'P m m 2'
_space_group_IT_number 25
loop_
_space_group_symop_operation_xyz
'x,y,z'
'-x,-y,z'
'-x,y,z'
'x,-y,z'
loop_
_atom_site_label
_atom_site_fract_x
_atom_site_fract_y
_atom_site_fract_z
Ta1 0.0000 0.0000 0.0000
Be1 0.0000 0.0000 0.4202
Be2 0.5000 0.5000 0.2618
Re1 0.5000 0.5000 0.6584
```

Properties
- crystal system = orthorhombic

The most stable of them is w.

## w
A relaxed structure of AgHg2Ru. Source: Alexandria, functional GGA-PBE.

```
data_AgHg2Ru
_chemical_formula_sum 'Ag1 Hg2 Ru1'
_cell_length_a 2.9943
_cell_length_b 3.9917
_cell_length_c 6.2099
_cell_angle_alpha 90.00
_cell_angle_beta 90.30
_cell_angle_gamma 90.00
_space_group_name_H-M_alt 'P 1 2/m 1'
_space_group_IT_number 10
loop_
_space_group_symop_operation_xyz
'x,y,z'
'-x,-y,-z'
'-x,y,-z'
'x,-y,z'
loop_
_atom_site_label
_atom_site_fract_x
_atom_site_fract_y
_atom_site_fract_z
Ag1 0.0000 0.0000 0.0000
Hg1 0.4998 0.5000 0.2610
Ru1 0.0000 0.0000 0.5000
```

Properties
- crystal system = monoclinic

## x
A relaxed structure of AgHg2Ru. Source: Alexandria, functional GGA-PBE.

```
data_AgHg2Ru
_chemical_formula_sum 'Ag4 Hg8 Ru4'
_cell_length_a 6.6511
_cell_length_b 6.6511
_cell_length_c 6.6511
_cell_angle_alpha 90.00
_cell_angle_beta 90.00
_cell_angle_gamma 90.00
_space_group_name_H-M_alt 'F m -3 m'
_space_group_IT_number 225
_space_group_name_Hall '-F 4 2 3'
loop_
_atom_site_label
_atom_site_fract_x
_atom_site_fract_y
_atom_site_fract_z
Ag1 0.0000 0.0000 0.0000
Hg1 0.2500 0.2500 0.2500
Ru1 0.0000 0.0000 0.5000
```

Properties
- crystal system = cubic

The most stable of them is w.

## w
A relaxed structure of Al2SiTe. Source: Alexandria, functional GGA-PBE.

```
data_Al2SiTe
_chemical_formula_sum 'Al2 Si1 Te1'
_cell_length_a 3.5033
_cell_length_b 4.4960
_cell_length_c 5.1110
_cell_angle_alpha 90.00
_cell_angle_beta 90.00
_cell_angle_gamma 90.00
_space_group_name_H-M_alt 'P m m m'
_space_group_IT_number 47
loop_
_space_group_symop_operation_xyz
'x,y,z'
'-x,-y,-z'
'-x,-y,z'
'x,y,-z'
'x,-y,-z'
'-x,y,z'
'-x,y,-z'
'x,-y,z'
loop_
_atom_site_label
_atom_site_fract_x
_atom_site_fract_y
_atom_site_fract_z
Al1 0.0000 0.0000 0.0000
Al2 0.5000 0.0000 0.5000
Si1 0.0000 0.5000 0.5000
Te1 0.5000 0.5000 0.0000
```

Properties
- crystal system = orthorhombic

## x
A relaxed structure of Al2SiTe. Source: Alexandria, functional GGA-PBE.

```
data_Al2SiTe
_chemical_formula_sum 'Al8 Si4 Te4'
_cell_length_a 5.9934
_cell_length_b 5.9934
_cell_length_c 11.9866
_cell_angle_alpha 90.00
_cell_angle_beta 90.00
_cell_angle_gamma 90.00
_space_group_name_H-M_alt 'I -4 2 d'
_space_group_IT_number 122
_space_group_name_Hall 'I -4 2bw'
loop_
_atom_site_label
_atom_site_fract_x
_atom_site_fract_y
_atom_site_fract_z
Al1 0.2036 0.2500 0.1250
Si1 0.0000 0.0000 0.0000
Te1 0.0000 0.0000 0.5000
```

Properties
- crystal system = tetragonal

The most stable of them is x.

## w
A relaxed structure of TaMo2Cl. Source: Alexandria, functional GGA-PBE.

```
data_TaMo2Cl
_chemical_formula_sum 'Ta1 Mo2 Cl1'
_cell_length_a 4.6181
_cell_length_b 4.6181
_cell_length_c 3.0712
_cell_angle_alpha 90.00
_cell_angle_beta 90.00
_cell_angle_gamma 90.00
_space_group_name_H-M_alt 'P 4/m m m'
_space_group_IT_number 123
_space_group_name_Hall '-P 4 2'
loop_
_atom_site_label
_atom_site_fract_x
_atom_site_fract_y
_atom_site_fract_z
Ta1 0.0000 0.0000 0.0000
Mo1 0.0000 0.5000 0.5000
Cl1 0.5000 0.5000 0.0000
```

Properties
- crystal system = tetragonal

## x
A relaxed structure of TaMo2Cl. Source: Alexandria, functional GGA-PBE.

```
data_TaMo2Cl
_chemical_formula_sum 'Ta2 Mo4 Cl2'
_cell_length_a 3.2040
_cell_length_b 4.7994
_cell_length_c 9.5338
_cell_angle_alpha 90.00
_cell_angle_beta 90.00
_cell_angle_gamma 90.00
_space_group_name_H-M_alt 'C m m 2'
_space_group_IT_number 35
loop_
_space_group_symop_operation_xyz
'x,y,z'
'-x,-y,z'
'-x,y,z'
'x,-y,z'
'x+1/2,y+1/2,z'
'-x+1/2,-y+1/2,z'
'-x+1/2,y+1/2,z'
'x+1/2,-y+1/2,z'
loop_
_atom_site_label
_atom_site_fract_x
_atom_site_fract_y
_atom_site_fract_z
Ta1 0.0000 0.0000 0.0000
Mo1 0.0000 0.0000 0.5486
Mo2 0.0000 0.5000 0.7592
Cl1 0.0000 0.5000 0.2070
```

Properties
- crystal system = orthorhombic

The most stable of them is x.

## w
A relaxed structure of WAu. Source: Alexandria, functional GGA-PBE.

```
data_WAu
_chemical_formula_sum 'W6 Au6'
_cell_length_a 2.7590
_cell_length_b 14.2530
_cell_length_c 5.1310
_cell_angle_alpha 90.00
_cell_angle_beta 90.00
_cell_angle_gamma 90.00
_space_group_name_H-M_alt 'P m m n'
_space_group_IT_number 59
loop_
_space_group_symop_operation_xyz
'x,y,z'
'-x,-y,-z'
'-x+1/2,-y+1/2,z'
'x+1/2,y+1/2,-z'
'x+1/2,-y,-z'
'-x+1/2,y,z'
'-x,y+1/2,-z'
'x,-y+1/2,z'
loop_
_atom_site_label
_atom_site_fract_x
_atom_site_fract_y
_atom_site_fract_z
W1 0.2500 0.0840 0.0882
W2 0.2500 0.7500 0.7437
Au1 0.2500 0.2500 0.7656
Au2 0.2500 0.5824 0.4092
```

Properties
- crystal system = orthorhombic

## x
A relaxed structure of WAu. Source: Alexandria, functional GGA-PBE.

```
data_WAu
_chemical_formula_sum 'W16 Au16'
_cell_length_a 4.4383
_cell_length_b 8.3810
_cell_length_c 15.5283
_cell_angle_alpha 90.00
_cell_angle_beta 90.00
_cell_angle_gamma 90.00
_space_group_name_H-M_alt 'F d d d'
_space_group_IT_number 70
loop_
_space_group_symop_operation_xyz
'x,y,z'
'-x,-y,-z'
'-x+1/4,-y+1/4,z'
'x+1/4,y+1/4,-z'
'x,-y+1/4,-z+1/4'
'-x,y+1/4,z+1/4'
'-x+1/4,y,-z+1/4'
'x+1/4,-y,z+1/4'
'x,y+1/2,z+1/2'
'-x,-y+1/2,-z+1/2'
'-x+1/4,-y+3/4,z+1/2'
'x+1/4,y+3/4,-z+1/2'
'x,-y+3/4,-z+3/4'
'-x,y+3/4,z+3/4'
'-x+1/4,y+1/2,-z+3/4'
'x+1/4,-y+1/2,z+3/4'
'x+1/2,y,z+1/2'
'-x+1/2,-y,-z+1/2'
'-x+3/4,-y+1/4,z+1/2'
'x+3/4,y+1/4,-z+1/2'
'x+1/2,-y+1/4,-z+3/4'
'-x+1/2,y+1/4,z+3/4'
'-x+3/4,y,-z+3/4'
'x+3/4,-y,z+3/4'
'x+1/2,y+1/2,z'
'-x+1/2,-y+1/2,-z'
'-x+3/4,-y+3/4,z'
'x+3/4,y+3/4,-z'
'x+1/2,-y+3/4,-z+1/4'
'-x+1/2,y+3/4,z+1/4'
'-x+3/4,y+1/2,-z+1/4'
'x+3/4,-y+1/2,z+1/4'
loop_
_atom_site_label
_atom_site_fract_x
_atom_site_fract_y
_atom_site_fract_z
W1 0.1250 0.1250 0.0415
Au1 0.1250 0.2852 0.6250
```

Properties
- crystal system = orthorhombic

The most stable of them is w.